VASP calculation (PBE) on crystalline Y3Mg3AlCdCu at its relaxed geometry.

Geometry as POSCAR:
```
Y3Mg3AlCdCu
1.0
7.596 0.000 0.000
-3.798 6.578 0.000
0.000 0.000 4.206
Y Mg Al Cd Cu
3 3 1 1 1
Direct
0.008 0.600 0.000
0.400 0.408 0.000
0.592 0.992 0.000
0.002 0.239 0.500
0.237 0.998 0.500
0.761 0.763 0.500
0.333 0.667 0.500
0.667 0.333 0.500
0.000 0.000 0.000
```

* calculated total energy: -0.2852 Ry/atom

VASP calculation (PBE) on crystalline NbAlCdCu at its relaxed geometry.

Geometry as POSCAR:
```
NbAlCdCu
1.0
0.000 3.224 3.224
3.224 0.000 3.224
3.224 3.224 0.000
Nb Al Cd Cu
1 1 1 1
Direct
0.000 0.000 0.000
0.250 0.250 0.250
0.750 0.750 0.750
0.500 0.500 0.500
```

* energy above the most stable polymorph in this dataset: 0 meV per atom

VASP calculation (PBE) on crystalline AlCdCuPd at its relaxed geometry.

Geometry as POSCAR:
```
AlCdCuPd
1.0
0.000 3.139 3.139
3.139 0.000 3.139
3.139 3.139 0.000
Al Cd Cu Pd
1 1 1 1
Direct
0.000 0.000 0.000
0.500 0.500 0.500
0.250 0.250 0.250
0.750 0.750 0.750
```

* energy above the most stable polymorph in this dataset: 0 meV per atom

VASP calculation (PBE) on crystalline ZrAlCdCu at its relaxed geometry.

Geometry as POSCAR:
```
ZrAlCdCu
1.0
0.000 3.292 3.292
3.292 0.000 3.292
3.292 3.292 0.000
Zr Al Cd Cu
1 1 1 1
Direct
0.000 0.000 0.000
0.250 0.250 0.250
0.750 0.750 0.750
0.500 0.500 0.500
```

* energy above the most stable polymorph in this dataset: 34 meV per atom

VASP calculation (PBE) on crystalline ZrAlCdCu at its relaxed geometry.

Geometry as POSCAR:
```
ZrAlCdCu
1.0
0.000 3.282 3.282
3.282 0.000 3.282
3.282 3.282 0.000
Zr Al Cd Cu
1 1 1 1
Direct
0.000 0.000 0.000
0.500 0.500 0.500
0.250 0.250 0.250
0.750 0.750 0.750
```

* energy above the most stable polymorph in this dataset: 0 meV per atom

VASP calculation (PBE) on crystalline DyEr2AlCd3Ga2 at its relaxed geometry.

Geometry as POSCAR:
```
DyEr2AlCd3Ga2
1.0
4.413 0.000 0.000
0.000 6.268 3.611
0.000 -6.268 3.611
Dy Er Al Cd Ga
1 2 1 3 2
Direct
0.000 0.000 0.000
0.000 0.134 0.567
0.000 0.567 0.134
0.000 0.566 0.566
0.500 0.320 0.320
0.500 0.567 0.814
0.500 0.814 0.567
0.500 0.234 0.900
0.500 0.900 0.234
```

* calculated total energy: -0.2493 Ry/atom

VASP calculation (PBE) on crystalline DyEr2Al2Cd3In at its relaxed geometry.

Geometry as POSCAR:
```
DyEr2Al2Cd3In
1.0
4.542 0.000 0.000
0.000 6.320 3.642
0.000 -6.320 3.642
Dy Er Al Cd In
1 2 2 3 1
Direct
0.000 0.000 0.000
0.000 0.126 0.563
0.000 0.563 0.126
0.500 0.230 0.896
0.500 0.896 0.230
0.500 0.307 0.307
0.500 0.563 0.819
0.500 0.819 0.563
0.000 0.562 0.562
```

* calculated total energy: -0.2460 Ry/atom

VASP calculation (PBE) on crystalline DyEr2Mg3Al2Cd at its relaxed geometry.

Geometry as POSCAR:
```
DyEr2Mg3Al2Cd
1.0
4.524 0.000 0.000
0.000 6.397 3.689
0.000 -6.397 3.689
Dy Er Mg Al Cd
1 2 3 2 1
Direct
0.000 0.000 0.000
0.000 0.429 0.857
0.000 0.857 0.429
0.500 0.183 0.429
0.500 0.429 0.183
0.500 0.675 0.675
0.500 0.095 0.762
0.500 0.762 0.095
0.000 0.429 0.429
```

* calculated total energy: -0.2409 Ry/atom

VASP calculation (PBE) on crystalline Dy2HoAlCd3Ga2 at its relaxed geometry.

Geometry as POSCAR:
```
Dy2HoAlCd3Ga2
1.0
4.418 0.000 0.000
0.000 6.275 3.628
0.000 -6.275 3.628
Dy Ho Al Cd Ga
2 1 1 3 2
Direct
0.000 0.216 0.784
0.000 0.784 0.216
0.000 0.350 0.350
0.000 0.783 0.783
0.500 0.030 0.030
0.500 0.537 0.783
0.500 0.783 0.537
0.500 0.117 0.450
0.500 0.450 0.117
```

* calculated total energy: -0.2503 Ry/atom

VASP calculation (PBE) on crystalline Dy3Mg2AlCdGa2 at its relaxed geometry.

Geometry as POSCAR:
```
Dy3Mg2AlCdGa2
1.0
4.471 0.000 0.000
0.000 6.312 3.609
0.000 -6.312 3.609
Dy Mg Al Cd Ga
3 2 1 1 2
Direct
0.000 0.000 0.000
0.000 0.129 0.562
0.000 0.562 0.129
0.500 0.561 0.805
0.500 0.805 0.561
0.000 0.562 0.562
0.500 0.320 0.320
0.500 0.230 0.895
0.500 0.895 0.230
```

* calculated total energy: -0.2595 Ry/atom

VASP calculation (PBE) on crystalline TbDy2AlCd3Ga2 at its relaxed geometry.

Geometry as POSCAR:
```
TbDy2AlCd3Ga2
1.0
4.428 0.000 0.000
0.000 6.299 3.632
0.000 -6.299 3.632
Tb Dy Al Cd Ga
1 2 1 3 2
Direct
0.000 0.000 0.000
0.000 0.432 0.865
0.000 0.865 0.432
0.000 0.433 0.433
0.500 0.186 0.433
0.500 0.433 0.186
0.500 0.679 0.679
0.500 0.099 0.765
0.500 0.765 0.099
```

* calculated total energy: -0.2511 Ry/atom

VASP calculation (PBE) on crystalline Dy2TmAlCd3Ga2 at its relaxed geometry.

Geometry as POSCAR:
```
Dy2TmAlCd3Ga2
1.0
4.411 0.000 0.000
0.000 6.254 3.625
0.000 -6.254 3.625
Dy Tm Al Cd Ga
2 1 1 3 2
Direct
0.000 0.217 0.783
0.000 0.783 0.217
0.000 0.350 0.350
0.000 0.782 0.782
0.500 0.030 0.030
0.500 0.537 0.783
0.500 0.783 0.537
0.500 0.118 0.449
0.500 0.449 0.118
```

* calculated total energy: -0.2489 Ry/atom

VASP calculation (PBE) on crystalline GdDy2Al2Zn3Cd at its relaxed geometry.

Geometry as POSCAR:
```
GdDy2Al2Zn3Cd
1.0
4.471 0.000 0.000
0.000 6.109 3.513
0.000 -6.109 3.513
Gd Dy Al Zn Cd
1 2 2 3 1
Direct
0.000 0.000 0.000
0.000 0.139 0.570
0.000 0.570 0.139
0.500 0.237 0.903
0.500 0.903 0.237
0.500 0.321 0.321
0.500 0.569 0.819
0.500 0.819 0.569
0.000 0.568 0.568
```

* calculated total energy: -0.2405 Ry/atom

VASP calculation (PBE) on crystalline Dy2HoAl2Cd4 at its relaxed geometry.

Geometry as POSCAR:
```
Dy2HoAl2Cd4
1.0
4.550 0.000 0.000
0.000 6.309 3.647
0.000 -6.309 3.647
Dy Ho Al Cd
2 1 2 4
Direct
0.000 0.215 0.785
0.000 0.785 0.215
0.000 0.356 0.356
0.500 0.119 0.452
0.500 0.452 0.119
0.000 0.785 0.785
0.500 0.037 0.037
0.500 0.534 0.785
0.500 0.785 0.534
```

* calculated total energy: -0.2310 Ry/atom

VASP calculation (PBE) on crystalline DyHo2Al2Cd4 at its relaxed geometry.

Geometry as POSCAR:
```
DyHo2Al2Cd4
1.0
4.547 0.000 0.000
0.000 6.309 3.639
0.000 -6.309 3.639
Dy Ho Al Cd
1 2 2 4
Direct
0.000 0.000 0.000
0.000 0.141 0.571
0.000 0.571 0.141
0.500 0.237 0.904
0.500 0.904 0.237
0.000 0.570 0.570
0.500 0.319 0.319
0.500 0.570 0.822
0.500 0.822 0.570
```

* calculated total energy: -0.2307 Ry/atom

VASP calculation (PBE) on crystalline Dy2HoMg3Al2Cd at its relaxed geometry.

Geometry as POSCAR:
```
Dy2HoMg3Al2Cd
1.0
4.538 0.000 0.000
0.000 6.409 3.703
0.000 -6.409 3.703
Dy Ho Mg Al Cd
2 1 3 2 1
Direct
0.000 0.214 0.786
0.000 0.786 0.214
0.000 0.357 0.357
0.500 0.032 0.032
0.500 0.540 0.786
0.500 0.786 0.540
0.500 0.119 0.452
0.500 0.452 0.119
0.000 0.786 0.786
```

* calculated total energy: -0.2419 Ry/atom

VASP calculation (PBE) on crystalline TbDy2Al2Cd3In at its relaxed geometry.

Geometry as POSCAR:
```
TbDy2Al2Cd3In
1.0
4.558 0.000 0.000
0.000 6.350 3.662
0.000 -6.350 3.662
Tb Dy Al Cd In
1 2 2 3 1
Direct
0.000 0.000 0.000
0.000 0.436 0.873
0.000 0.873 0.436
0.500 0.103 0.769
0.500 0.769 0.103
0.500 0.181 0.436
0.500 0.436 0.181
0.500 0.692 0.692
0.000 0.437 0.437
```

* calculated total energy: -0.2479 Ry/atom

VASP calculation (PBE) on crystalline DyTm2Al2Cd3In at its relaxed geometry.

Geometry as POSCAR:
```
DyTm2Al2Cd3In
1.0
4.542 0.000 0.000
0.000 6.312 3.633
0.000 -6.312 3.633
Dy Tm Al Cd In
1 2 2 3 1
Direct
0.000 0.000 0.000
0.000 0.126 0.563
0.000 0.563 0.126
0.500 0.230 0.896
0.500 0.896 0.230
0.500 0.307 0.307
0.500 0.563 0.819
0.500 0.819 0.563
0.000 0.562 0.562
```

* calculated total energy: -0.2438 Ry/atom

VASP calculation (PBE) on crystalline Dy2TmAl2Cd3In at its relaxed geometry.

Geometry as POSCAR:
```
Dy2TmAl2Cd3In
1.0
4.545 0.000 0.000
0.000 6.308 3.654
0.000 -6.308 3.654
Dy Tm Al Cd In
2 1 2 3 1
Direct
0.000 0.218 0.782
0.000 0.782 0.218
0.000 0.344 0.344
0.500 0.116 0.447
0.500 0.447 0.116
0.500 0.037 0.037
0.500 0.526 0.781
0.500 0.781 0.526
0.000 0.780 0.780
```

* calculated total energy: -0.2457 Ry/atom

VASP calculation (PBE) on crystalline Dy3Mg3Al2Cd at its relaxed geometry.

Geometry as POSCAR:
```
Dy3Mg3Al2Cd
1.0
7.407 0.000 0.000
-3.704 6.415 0.000
0.000 0.000 4.539
Dy Mg Al Cd
3 3 2 1
Direct
0.000 0.571 0.000
0.429 0.429 0.000
0.571 0.000 0.000
0.000 0.246 0.500
0.246 0.000 0.500
0.754 0.754 0.500
0.333 0.667 0.500
0.667 0.333 0.500
0.000 0.000 0.000
```

* calculated total energy: -0.2422 Ry/atom

VASP calculation (PBE) on crystalline Dy3Mg3AlCd2 at its relaxed geometry.

Geometry as POSCAR:
```
Dy3Mg3AlCd2
1.0
7.572 0.000 0.000
-3.786 6.558 0.000
0.000 0.000 4.478
Dy Mg Al Cd
3 3 1 2
Direct
0.000 0.586 0.000
0.414 0.414 0.000
0.586 0.000 0.000
0.000 0.239 0.500
0.239 0.000 0.500
0.761 0.761 0.500
0.000 0.000 0.000
0.333 0.667 0.500
0.667 0.333 0.500
```

* calculated total energy: -0.2138 Ry/atom

VASP calculation (PBE) on crystalline Pr2DyMg3Al2Cd at its relaxed geometry.

Geometry as POSCAR:
```
Pr2DyMg3Al2Cd
1.0
4.653 0.000 0.000
0.000 6.490 3.811
0.000 -6.490 3.811
Pr Dy Mg Al Cd
2 1 3 2 1
Direct
0.000 0.213 0.787
0.000 0.787 0.213
0.000 0.359 0.359
0.500 0.029 0.029
0.500 0.539 0.784
0.500 0.784 0.539
0.500 0.125 0.451
0.500 0.451 0.125
0.000 0.776 0.776
```

* calculated total energy: -0.2451 Ry/atom

VASP calculation (PBE) on crystalline Dy2TmAl2Zn3Cd at its relaxed geometry.

Geometry as POSCAR:
```
Dy2TmAl2Zn3Cd
1.0
4.459 0.000 0.000
0.000 6.030 3.504
0.000 -6.030 3.504
Dy Tm Al Zn Cd
2 1 2 3 1
Direct
0.000 0.216 0.784
0.000 0.784 0.216
0.000 0.351 0.351
0.500 0.118 0.450
0.500 0.450 0.118
0.500 0.032 0.032
0.500 0.534 0.783
0.500 0.783 0.534
0.000 0.780 0.780
```

* calculated total energy: -0.2390 Ry/atom

VASP calculation (PBE) on crystalline DyY2Al2Zn3Cd at its relaxed geometry.

Geometry as POSCAR:
```
DyY2Al2Zn3Cd
1.0
4.466 0.000 0.000
0.000 6.082 3.514
0.000 -6.082 3.514
Dy Y Al Zn Cd
1 2 2 3 1
Direct
0.000 0.000 0.000
0.000 0.138 0.569
0.000 0.569 0.138
0.500 0.235 0.903
0.500 0.903 0.235
0.500 0.320 0.320
0.500 0.569 0.818
0.500 0.818 0.569
0.000 0.570 0.570
```

* calculated total energy: -0.2715 Ry/atom